[1]
Ta2TiSn | PBE | relaxed

a = 3.035 Å, b = 3.035 Å, c = 9.826 Å
α = 81.12°, β = 81.12°, γ = 60.00°
Fractional positions:
Ta 0.086 0.086 0.742
Ta 0.247 0.247 0.259
Ti 0.500 0.500 0.499
Sn 0.667 0.667 0.999

Properties
As for the total energy: -34.68 eV/f.u. The value obtained for the energy of formation from the pure elements is 0.23 eV/atom. The value obtained for the density of states at the Fermi level is 1.374 states/eV/atom.


[2]
TaTiSn | PBE | relaxed

a = 2.942 Å, b = 4.726 Å, c = 4.726 Å
α = 120.00°, β = 90.00°, γ = 90.00°
Fractional positions:
Ti 0.668 0.333 0.667
Sn 0.343 0.667 0.333
Ta 0.989 0.000 0.000

Properties
As for the total energy: -23.57 eV/f.u. The value obtained for the energy of formation from the pure elements is 0.06 eV/atom. The calculation puts the excess energy over the best structure of this formula in the dataset at 252.2 meV/atom. The value obtained for the density of states at the Fermi level is 1.084 states/eV/atom.


[3]
TaTi2Sn2 | PBE | relaxed

a = 5.226 Å, b = 5.564 Å, c = 3.717 Å
α = 70.49°, β = 69.17°, γ = 84.86°
Fractional positions:
Ta 0.000 0.500 0.000
Ti 0.810 0.125 0.782
Ti 0.190 0.875 0.218
Sn 0.386 0.276 0.419
Sn 0.614 0.724 0.581

Properties
As for the total energy: -36.54 eV/f.u. The value obtained for the energy of formation from the pure elements is -0.18 eV/atom. The calculation puts the excess energy over the best structure of this formula in the dataset at 0.0 meV/atom. The value obtained for the density of states at the Fermi level is 0.750 states/eV/atom.


[4]
Ta14TiSn | PBE | relaxed

a = 5.779 Å, b = 5.779 Å, c = 9.345 Å
α = 90.00°, β = 90.00°, γ = 109.44°
Fractional positions:
Ta 0.125 0.875 0.000
Ta 0.625 0.375 0.000
Ta 0.124 0.375 0.500
Ta 0.125 0.375 0.000
Ta 0.625 0.876 0.500
Ta 0.625 0.875 0.000
Ta 0.366 0.116 0.757
Ta 0.366 0.116 0.243
Ta 0.884 0.634 0.757
Ta 0.884 0.634 0.243
Ta 0.375 0.625 0.748
Ta 0.375 0.625 0.252
Ta 0.875 0.125 0.748
Ta 0.875 0.125 0.252
Ti 0.125 0.875 0.500
Sn 0.625 0.375 0.500

Properties
As for the total energy: -177.67 eV/f.u. The value obtained for the energy of formation from the pure elements is 0.01 eV/atom. The value obtained for the density of states at the Fermi level is 1.283 states/eV/atom.


[5]
Ta3Ti2Sn | PBE | relaxed

a = 4.807 Å, b = 7.600 Å, c = 7.934 Å
α = 123.84°, β = 90.01°, γ = 108.40°
Fractional positions:
Ta 0.293 0.586 0.619
Ta 0.958 0.915 0.619
Ta 0.617 0.234 0.613
Ta 0.383 0.766 0.387
Ta 0.042 0.085 0.381
Ta 0.707 0.414 0.381
Ti 0.541 0.081 0.867
Ti 0.459 0.919 0.133
Ti 0.792 0.584 0.139
Ti 0.208 0.416 0.861
Sn 0.865 0.731 0.874
Sn 0.135 0.269 0.126

Properties
As for the total energy: -55.42 eV/f.u. The value obtained for the energy of formation from the pure elements is -0.01 eV/atom. The value obtained for the density of states at the Fermi level is 1.421 states/eV/atom.


[6]
Ta3Ti12Sn5 | PBE | relaxed

a = 13.653 Å, b = 13.653 Å, c = 13.653 Å
α = 109.47°, β = 109.47°, γ = 109.47°
Fractional positions:
Ta 0.750 0.375 0.125
Ta 0.875 0.750 0.125
Ta 0.375 0.750 0.625
Ta 0.250 0.125 0.375
Ta 0.875 0.125 0.250
Ta 0.375 0.625 0.250
Ta 0.625 0.375 0.750
Ta 0.125 0.875 0.750
Ta 0.750 0.875 0.625
Ta 0.625 0.250 0.375
Ta 0.125 0.250 0.875
Ta 0.250 0.625 0.875
Sn 0.125 0.375 0.250
Sn 0.000 0.500 0.000
Sn 0.000 0.000 0.000
Sn 0.375 0.250 0.125
Sn 0.500 0.000 0.500
Sn 0.500 0.500 0.000
Sn 0.125 0.750 0.375
Sn 0.750 0.125 0.875
Sn 0.750 0.625 0.375
Sn 0.375 0.125 0.750
Sn 0.625 0.875 0.250
Sn 0.500 0.500 0.500
Sn 0.500 0.000 0.000
Sn 0.000 0.000 0.500
Sn 0.250 0.375 0.625
Sn 0.250 0.875 0.125
Sn 0.000 0.500 0.500
Sn 0.875 0.250 0.625
Sn 0.625 0.750 0.875
Sn 0.875 0.625 0.750
Ti 0.734 0.147 0.076
Ti 0.342 0.576 0.429
Ti 0.924 0.353 0.266
Ti 0.576 0.234 0.147
Ti 0.587 0.734 0.658
Ti 0.924 0.571 0.158
Ti 0.342 0.766 0.413
Ti 0.071 0.913 0.147
Ti 0.571 0.924 0.658
Ti 0.734 0.587 0.158
Ti 0.766 0.424 0.353
Ti 0.842 0.929 0.076
Ti 0.147 0.734 0.576
Ti 0.353 0.429 0.087
Ti 0.087 0.929 0.353
Ti 0.413 0.147 0.571
Ti 0.087 0.158 0.234
Ti 0.424 0.658 0.071
Ti 0.842 0.913 0.266
Ti 0.147 0.413 0.071
Ti 0.353 0.924 0.766
Ti 0.571 0.647 0.413
Ti 0.929 0.842 0.576
Ti 0.766 0.342 0.913
Ti 0.429 0.353 0.587
Ti 0.071 0.158 0.424
Ti 0.234 0.658 0.087
Ti 0.158 0.087 0.734
Ti 0.647 0.076 0.234
Ti 0.853 0.587 0.929
Ti 0.576 0.342 0.929
Ti 0.587 0.853 0.429
Ti 0.913 0.842 0.766
Ti 0.913 0.071 0.647
Ti 0.853 0.266 0.424
Ti 0.158 0.071 0.924
Ti 0.647 0.571 0.913
Ti 0.429 0.076 0.342
Ti 0.266 0.413 0.842
Ti 0.234 0.576 0.647
Ti 0.929 0.087 0.853
Ti 0.658 0.234 0.587
Ti 0.424 0.766 0.853
Ti 0.076 0.429 0.842
Ti 0.413 0.266 0.342
Ti 0.076 0.647 0.734
Ti 0.658 0.424 0.571
Ti 0.266 0.853 0.924

Properties
As for the total energy: -136.79 eV/f.u. The value obtained for the energy of formation from the pure elements is 0.68 eV/atom. The value obtained for the density of states at the Fermi level is 1.309 states/eV/atom.